# 1
# K3PaCl6

A relaxed structure of K3PaCl6 (PBE-GGA, the Alexandria database).

calculated volume: 682.07 Å³/cell
space-group type: P2_1/c
energy relative to the elements, uncorrected: -1.85 eV per atom

abc: 7.6018 8.0968 13.5206
angles: 90.00 55.04 90.00
Closest atoms and distances in Å follow each position.
Positions (direct):
K (0.5000, 0.0000, 0.5000)  6 Cl 3.09-3.19
Cl (0.3663, 0.9389, 0.7682)  1 Pa 2.80
Cl (0.6337, 0.4389, 0.7318)  1 Pa 2.80
Cl (0.3663, 0.5611, 0.2682)  1 Pa 2.80
K (0.7746, 0.4265, 0.2555)  6 Cl 3.20-3.50
K (0.2254, 0.5735, 0.7445)  6 Cl 3.20-3.50
Cl (0.2284, 0.3166, 0.5641)  1 Pa 2.77, 1 K 3.09
K (0.2254, 0.9265, 0.2445)  6 Cl 3.20-3.50
K (0.7746, 0.0735, 0.7555)  6 Cl 3.20-3.50
Cl (0.0939, 0.7829, 0.5797)  1 Pa 2.79
Pa (0.0000, 0.0000, 0.0000)  6 Cl 2.77-2.80
Pa (0.0000, 0.5000, 0.5000)  6 Cl 2.77-2.80
Cl (0.7716, 0.6834, 0.4359)  1 Pa 2.77, 1 K 3.09
Cl (0.7716, 0.8166, 0.9359)  1 Pa 2.77, 1 K 3.09
Cl (0.2284, 0.1834, 0.0641)  1 Pa 2.77, 1 K 3.09
Cl (0.0939, 0.7171, 0.0797)  1 Pa 2.79
Cl (0.9061, 0.2171, 0.4203)  1 Pa 2.79
Cl (0.6337, 0.0611, 0.2318)  1 Pa 2.80
Cl (0.9061, 0.2829, 0.9203)  1 Pa 2.79
K (0.5000, 0.5000, 0.0000)  6 Cl 3.09-3.19

---

# 2
# KPaCl4

A relaxed structure of KPaCl4 (PBE-GGA, the Alexandria database).

calculated volume: 416.72 Å³/cell
space-group type: C2/m
energy relative to the elements, uncorrected: -1.78 eV per atom

abc: 3.8806 9.4664 12.0160
angles: 76.27 80.71 78.17
Closest atoms and distances in Å follow each position.
Positions (direct):
Cl (0.3412, 0.7745, 0.0423)  1 Pa 2.69
K (0.2503, 0.2500, 0.7500)  6 Cl 3.11-3.28
Cl (0.9484, 0.4303, 0.1729)  2 Pa 2.80
Pa (0.0000, 0.0000, 0.5000)  6 Cl 2.69-2.80
K (0.7497, 0.7500, 0.2500)  6 Cl 3.11-3.28
Cl (0.6588, 0.2255, 0.9577)  1 Pa 2.69
Cl (0.4484, 0.9303, 0.6729)  2 Pa 2.80
Cl (0.5516, 0.0697, 0.3271)  2 Pa 2.80
Cl (0.8420, 0.2745, 0.5423)  1 Pa 2.69
Pa (0.5000, 0.5000, 0.0000)  6 Cl 2.69-2.80
Cl (0.0516, 0.5697, 0.8271)  2 Pa 2.80
Cl (0.1580, 0.7255, 0.4577)  1 Pa 2.69